(1)
Crystalline MgZnWC2 at its relaxed geometry, computed with PBE.

Computed properties:
- ΔH_f (0 K) (eV per atom) = 1.430
- E (eV per cell) = -27.12
- calculated volume (Å³/atom) = 18.58

Structure (CIF):
```
data_MgZnWC2
_cell_length_a 4.066
_cell_length_b 4.066
_cell_length_c 5.619
_cell_angle_alpha 90.00
_cell_angle_beta 90.00
_cell_angle_gamma 90.00
_symmetry_space_group_name_H-M 'P 4/m m m'
_symmetry_Int_Tables_number 123
_symmetry_space_group_name_Hall '-P 4 2'
loop_
_atom_site_label
_atom_site_type_symbol
_atom_site_fract_x
_atom_site_fract_y
_atom_site_fract_z
Mg1 Mg 0.000 0.000 0.000
Zn1 Zn 0.500 0.500 0.000
W1 W 0.000 0.000 0.500
C1 C 0.000 0.500 0.500
```

=====

(2)
Crystalline PaNb2Al at its relaxed geometry, computed with PBE.

Computed properties:
- ΔH_f (0 K) (eV per atom) = 0.245
- E (eV per cell) = -97.19
- calculated volume (Å³/atom) = 19.80
- offset from the most stable computed form (meV per atom) = 367.7

Structure (CIF):
```
data_PaNb2Al
_cell_length_a 2.9778
_cell_length_b 2.9778
_cell_length_c 30.9395
_cell_angle_alpha 90.00
_cell_angle_beta 90.00
_cell_angle_gamma 120.00
_symmetry_space_group_name_H-M 'R -3 m'
_symmetry_Int_Tables_number 166
_symmetry_space_group_name_Hall '-R 3 2"'
loop_
_atom_site_label
_atom_site_type_symbol
_atom_site_fract_x
_atom_site_fract_y
_atom_site_fract_z
Pa1 Pa 0.0000 0.0000 0.0000
Nb1 Nb 0.0000 0.0000 0.0927
Al1 Al 0.0000 0.0000 0.5000
```

=====

(3)
Crystalline TcHg3 at its relaxed geometry, computed with PBE.

Computed properties:
- ΔH_f (0 K) (eV per atom) = 0.342
- E (eV per cell) = -39.61
- calculated volume (Å³/atom) = 22.34
- offset from the most stable computed form (meV per atom) = 0.0

Structure (CIF):
```
data_TcHg3
_cell_length_a 7.740
_cell_length_b 15.150
_cell_length_c 3.048
_cell_angle_alpha 90.00
_cell_angle_beta 90.00
_cell_angle_gamma 90.00
_symmetry_space_group_name_H-M 'C m c m'
_symmetry_Int_Tables_number 63
_symmetry_space_group_name_Hall '-C 2c 2'
loop_
_atom_site_label
_atom_site_type_symbol
_atom_site_fract_x
_atom_site_fract_y
_atom_site_fract_z
Tc1 Tc 0.000 0.061 0.250
Hg1 Hg 0.000 0.234 0.750
Hg2 Hg 0.186 0.401 0.250
```

=====

Q: ΔH_f (0 K) of number 2 (PaNb2Al)?
A: 0.245 eV per atom

=====

Q: calculated volume of number 3 (TcHg3)?
A: 22.34 Å³/atom